Entry 1:
Below is a geometry-optimized HgPtAu2 structure, with properties calculated at the PBE level.

Its magnetic moment is 0.00 μB/atom. The value obtained for the formation energy is 0.06 eV/atom.

a b c (Å): 3.0124 3.0124 8.0368
angles (deg): 90.00 90.00 90.00
With the nearest neighbours (Å) after each atom.
Atoms (fractional coordinates):
Hg (0.0000, 0.0000, 0.0000)  4 Pt 2.90, 4 Hg 3.01, 4 Au 3.04
Pt (0.5000, 0.5000, 0.2444)  4 Au 2.85, 4 Hg 2.90, 4 Pt 3.01
Au (0.0000, 0.0000, 0.4809)  4 Pt 2.85, 8 Au 2.92-3.01
Au (0.5000, 0.5000, 0.7300)  8 Au 2.92-3.01, 4 Hg 3.04


Entry 2:
Below is a geometry-optimized YSc2 structure, with properties calculated at the PBE level.

Its magnetic moment is 0.78 μB/atom. The value obtained for the formation energy is 0.20 eV/atom.

a b c (Å): 6.1683 6.1683 10.4963
angles (deg): 90.00 90.00 120.00
With the nearest neighbours (Å) after each atom.
Atoms (fractional coordinates):
Y (0.3333, 0.6667, 0.0578)  12 Sc 3.61-3.69, 4 Y 3.76-4.03
Y (0.3333, 0.6667, 0.4422)  12 Sc 3.61-3.69, 4 Y 3.76-4.03
Y (0.6667, 0.3333, 0.5578)  12 Sc 3.61-3.69, 4 Y 3.76-4.03
Y (0.6667, 0.3333, 0.9422)  12 Sc 3.61-3.69, 4 Y 3.76-4.03
Sc (0.0000, 0.0000, 0.0000)  6 Sc 3.17
Sc (0.0000, 0.0000, 0.5000)  6 Sc 3.17
Sc (0.1668, 0.3337, 0.7500)  6 Sc 3.08-3.17
Sc (0.1668, 0.8332, 0.7500)  6 Sc 3.08-3.17
Sc (0.3337, 0.1668, 0.2500)  6 Sc 3.08-3.17
Sc (0.6663, 0.8332, 0.7500)  6 Sc 3.08-3.17
Sc (0.8332, 0.1668, 0.2500)  6 Sc 3.08-3.17
Sc (0.8332, 0.6663, 0.2500)  6 Sc 3.08-3.17